## K2MnCl2F2 (GGA+U)

Data for crystalline K2MnCl2F2 at its relaxed geometry.

Structure (POSCAR):
```
K2MnCl2F2
1.0
4.382 0.000 0.000
0.000 4.382 0.000
-2.191 -2.191 7.886
K Mn Cl F
2 1 2 2
Direct
0.369 0.369 0.739
0.631 0.631 0.261
0.000 0.000 0.000
0.161 0.161 0.323
0.839 0.839 0.677
0.000 0.500 0.000
0.500 0.000 0.000
```

Calculated values
D(E_F): 0.000 states/eV per atom
SG: I4/mmm, No. 139
E_tot: -0.173 hartree per atom
M_tot: 5.00 μB/f.u.